Crystalline SrLi2Al2Ga2 at its relaxed geometry. Source: the Alexandria database, functional PBE.

abc: 4.393 4.395 8.916
angles: 104.33 90.00 119.99
Element x y z (fractional)
Ga  0.250  0.500  0.751
Li  0.855  0.710  0.566
Al  0.441  0.881  0.322
Al  0.559  0.119  0.678
Li  0.145  0.290  0.434
Ga  0.750  0.500  0.249
Sr  0.000  0.000  0.000

Results
Electronic total energy: -3.0513 eV per atom
Calculated density: 3.428 g cm⁻³
Symmetry: C2/m
Calculated formation energy: -2.31 eV/f.u.